(1)
VASP calculation (PBE-GGA) on a geometry-optimized LaTm2Co structure.

## Properties
DOS at the Fermi energy (states/eV per atom): 1.075
Magnetization (Bohr magnetons per cell): 0.00
E_form (meV per atom): -48
E (eV/atom): -5.2918
Relative energy among the computed polymorphs (meV/atom): 93
Crystal system: trigonal

Cell lengths 9.2248, 9.2248, 9.2248 Å; angles 23.81, 23.81, 23.81 degrees
Element x y z (fractional)
La: 0.0000 0.0000 0.0000
Tm: 0.5512 0.5512 0.5512
Tm: 0.7780 0.7780 0.7780
Co: 0.1648 0.1648 0.1648

(2)
VASP calculation (PBE-GGA) on a geometry-optimized La2TmCo structure.

## Properties
DOS at the Fermi energy (states/eV per atom): 1.455
Magnetization (Bohr magnetons per cell): 0.00
E_form (meV per atom): 185
E (eV/atom): -5.1728
Relative energy among the computed polymorphs (meV/atom): 295
Crystal system: trigonal

Cell lengths 10.6368, 10.6368, 10.6368 Å; angles 20.06, 20.06, 20.06 degrees
Element x y z (fractional)
La: 0.1123 0.1123 0.1123
La: 0.8877 0.8877 0.8877
Tm: 0.0000 0.0000 0.0000
Co: 0.5000 0.5000 0.5000

(3)
VASP calculation (PBE-GGA) on a geometry-optimized LaTm2Co structure.

## Properties
DOS at the Fermi energy (states/eV per atom): 1.031
Magnetization (Bohr magnetons per cell): 0.54
E_form (meV per atom): -109
E (eV/atom): -5.3526
Relative energy among the computed polymorphs (meV/atom): 32
Crystal system: tetragonal

Cell lengths 3.3812, 3.3812, 8.9883 Å; angles 90.00, 90.00, 90.00 degrees
Element x y z (fractional)
La: 0.0000 0.0000 0.0000
Tm: 0.5000 0.5000 0.3249
Tm: 0.5000 0.5000 0.6751
Co: 0.0000 0.0000 0.5000

(4)
VASP calculation (PBE-GGA) on a geometry-optimized La3TmCo structure.

## Properties
DOS at the Fermi energy (states/eV per atom): 1.792
Magnetization (Bohr magnetons per cell): 0.00
E_form (meV per atom): 43
E (eV/atom): -5.2291
Crystal system: cubic

Cell lengths 5.4589, 5.4589, 5.4589 Å; angles 90.00, 90.00, 90.00 degrees
Element x y z (fractional)
La: 0.0000 0.0000 0.5000
La: 0.0000 0.5000 0.0000
La: 0.5000 0.0000 0.0000
Tm: 0.5000 0.5000 0.5000
Co: 0.0000 0.0000 0.0000

(5)
VASP calculation (PBE-GGA) on a geometry-optimized LaTm2Co structure.

## Properties
DOS at the Fermi energy (states/eV per atom): 0.898
Magnetization (Bohr magnetons per cell): 0.00
E_form (meV per atom): 78
E (eV/atom): -5.1658
Relative energy among the computed polymorphs (meV/atom): 219
Crystal system: trigonal

Cell lengths 10.4771, 10.4771, 10.4771 Å; angles 19.88, 19.88, 19.88 degrees
Element x y z (fractional)
La: 0.0000 0.0000 0.0000
Tm: 0.1164 0.1164 0.1164
Tm: 0.8836 0.8836 0.8836
Co: 0.5000 0.5000 0.5000

(6)
VASP calculation (PBE-GGA) on a geometry-optimized LaTmCo2 structure.

## Properties
DOS at the Fermi energy (states/eV per atom): 0.330
Magnetization (Bohr magnetons per cell): 0.65
E_form (meV per atom): -58
E (eV/atom): -5.9603
Relative energy among the computed polymorphs (meV/atom): 8
Crystal system: cubic

Cell lengths 4.8075, 4.8075, 4.8075 Å; angles 60.00, 60.00, 60.00 degrees
Element x y z (fractional)
La: 0.0000 0.0000 0.0000
Tm: 0.5000 0.5000 0.5000
Co: 0.2500 0.2500 0.2500
Co: 0.7500 0.7500 0.7500

(7)
VASP calculation (PBE-GGA) on a geometry-optimized LaTm6Co2 structure.

## Properties
DOS at the Fermi energy (states/eV per atom): 1.181
Magnetization (Bohr magnetons per cell): 0.00
E_form (meV per atom): -60
E (eV/atom): -5.1676
Crystal system: orthorhombic

Cell lengths 8.4442, 8.4442, 8.4442 Å; angles 112.13, 108.75, 107.57 degrees
Element x y z (fractional)
La: 0.0000 0.0000 0.0000
La: 0.5000 0.5000 0.0000
Tm: 0.0149 0.2377 0.7772
Tm: 0.1873 0.2908 0.4781
Tm: 0.1873 0.7092 0.8965
Tm: 0.3206 0.0052 0.6845
Tm: 0.3206 0.6361 0.3155
Tm: 0.4605 0.2377 0.2228
Tm: 0.5395 0.7623 0.7772
Tm: 0.6794 0.3639 0.6845
Tm: 0.6794 0.9948 0.3155
Tm: 0.8127 0.2908 0.1035
Tm: 0.8127 0.7092 0.5219
Tm: 0.9851 0.7623 0.2228
Co: 0.1138 0.6138 0.5000
Co: 0.3254 0.0000 0.3254
Co: 0.6746 0.0000 0.6746
Co: 0.8862 0.3862 0.5000

(8)
VASP calculation (PBE-GGA) on a geometry-optimized La2Tm3Co2 structure.

## Properties
DOS at the Fermi energy (states/eV per atom): 0.986
Magnetization (Bohr magnetons per cell): 0.00
E_form (meV per atom): -123
E (eV/atom): -5.4776
Crystal system: monoclinic

Cell lengths 6.5908, 6.5908, 9.0735 Å; angles 118.60, 118.60, 34.33 degrees
Element x y z (fractional)
La: 0.0996 0.0996 0.4035
La: 0.9004 0.9004 0.5965
Tm: 0.2925 0.2925 0.1834
Tm: 0.5000 0.5000 0.0000
Tm: 0.7075 0.7075 0.8166
Co: 0.0844 0.0844 0.8767
Co: 0.9156 0.9156 0.1233

(9)
VASP calculation (PBE-GGA) on a geometry-optimized La2TmCo structure.

## Properties
DOS at the Fermi energy (states/eV per atom): 1.264
Magnetization (Bohr magnetons per cell): 0.00
E_form (meV per atom): -110
E (eV/atom): -5.4677
Relative energy among the computed polymorphs (meV/atom): 0
Crystal system: orthorhombic

Cell lengths 7.0853, 10.0678, 6.2567 Å; angles 90.00, 90.00, 90.00 degrees
Element x y z (fractional)
La: 0.1696 0.0717 0.1778
La: 0.1696 0.4283 0.1778
La: 0.3304 0.5717 0.6778
La: 0.3304 0.9283 0.6778
La: 0.6696 0.0717 0.3222
La: 0.6696 0.4283 0.3222
La: 0.8304 0.5717 0.8222
La: 0.8304 0.9283 0.8222
Tm: 0.0458 0.2500 0.6635
Tm: 0.4542 0.7500 0.1635
Tm: 0.5458 0.2500 0.8365
Tm: 0.9542 0.7500 0.3365
Co: 0.1188 0.7500 0.9410
Co: 0.3812 0.2500 0.4410
Co: 0.6188 0.7500 0.5590
Co: 0.8812 0.2500 0.0590

(10)
VASP calculation (PBE-GGA) on a geometry-optimized La8TmCo2 structure.

## Properties
DOS at the Fermi energy (states/eV per atom): 1.185
Magnetization (Bohr magnetons per cell): 0.00
E_form (meV per atom): 19
E (eV/atom): -5.2632
Crystal system: monoclinic

Cell lengths 7.5621, 7.5621, 7.3861 Å; angles 106.35, 106.35, 69.15 degrees
Element x y z (fractional)
La: 0.0887 0.6935 0.6894
La: 0.1845 0.1845 0.8266
La: 0.3065 0.9113 0.3106
La: 0.3710 0.3710 0.3230
La: 0.6290 0.6290 0.6770
La: 0.6935 0.0887 0.6894
La: 0.8155 0.8155 0.1734
La: 0.9113 0.3065 0.3106
Tm: 0.5000 0.5000 0.0000
Co: 0.3174 0.3174 0.6236
Co: 0.6826 0.6826 0.3764

(11)
VASP calculation (PBE-GGA) on a geometry-optimized LaYTmCo structure.

## Properties
DOS at the Fermi energy (states/eV per atom): 1.047
Magnetization (Bohr magnetons per cell): 0.00
E_form (meV per atom): -8
E (eV/atom): -5.7505
Crystal system: orthorhombic

Cell lengths 3.4975, 7.1363, 7.1363 Å; angles 38.12, 90.00, 90.00 degrees
Element x y z (fractional)
La: 0.0000 0.0000 0.0000
Y: 0.5000 0.6614 0.6614
Tm: 0.5000 0.3384 0.3384
Co: 0.0000 0.8210 0.8210

(12)
VASP calculation (PBE-GGA) on a geometry-optimized LaTmZnCo structure.

## Properties
DOS at the Fermi energy (states/eV per atom): 0.655
Magnetization (Bohr magnetons per cell): 0.00
E_form (meV per atom): -165
E (eV/atom): -4.6096
Crystal system: cubic

Cell lengths 4.9755, 4.9755, 4.9755 Å; angles 60.00, 60.00, 60.00 degrees
Element x y z (fractional)
La: 0.0000 0.0000 0.0000
Tm: 0.5000 0.5000 0.5000
Zn: 0.7500 0.7500 0.7500
Co: 0.2500 0.2500 0.2500